Density functional theory data (GGA-PBE) for NaDy3Ti2Sb2O14 after structural relaxation.

Unit cell a=7.291 b=7.305 c=12.601 alpha=54.94 beta=90.00 gamma=90.00
Atoms (fractional coordinates):
O  0.749  0.077  0.421
Sb  0.746  0.500  0.750
O  0.251  0.923  0.579
Ti  0.264  0.000  0.250
O  0.049  0.943  0.367
Ti  0.500  0.000  0.000
Na  0.000  0.500  0.000
Ti  0.500  0.000  0.500
O  0.042  0.669  0.130
Dy  0.225  0.000  0.750
O  0.554  0.924  0.879
O  0.446  0.924  0.379
Na  0.000  0.500  0.500
Dy  0.500  0.500  0.500
O  0.730  0.324  0.676
O  0.042  0.331  0.370
Dy  0.500  0.500  0.000
O  0.951  0.057  0.633
O  0.270  0.324  0.176
O  0.446  0.076  0.121
O  0.251  0.077  0.921
Sb  0.254  0.500  0.250
O  0.958  0.669  0.630
O  0.270  0.676  0.324
O  0.457  0.326  0.377
O  0.730  0.676  0.824
O  0.543  0.674  0.623
O  0.736  0.635  0.367
Dy  0.753  0.500  0.250
O  0.958  0.331  0.870
O  0.049  0.057  0.133
O  0.264  0.635  0.867
Ti  0.736  0.000  0.750
Dy  0.775  0.000  0.250
O  0.749  0.923  0.079
Sb  0.000  0.000  0.500
Dy  0.247  0.500  0.750
O  0.457  0.674  0.123
O  0.543  0.326  0.877
O  0.264  0.365  0.633
O  0.554  0.076  0.621
Sb  0.000  0.000  0.000
O  0.736  0.365  0.133
O  0.951  0.943  0.867

Summary:
calculated volume: 12.486 Å³/atom
offset from the most stable computed form: 0.000 eV/f.u.
SG: P2/c (13)
formation energy from raw total energies: -2.7061 eV per atom